## i
Below is HgTePdO after structural relaxation, with properties calculated at the PBE level.

Output
crystal system: tetragonal

POSCAR file:
```
HgTePdO
1.0
4.0544 0.0000 0.0000
0.0000 4.0544 0.0000
0.0000 0.0000 9.0637
Hg Te Pd O
2 2 2 2
Direct
0.2500 0.7500 0.0000
0.7500 0.2500 0.0000
0.2500 0.2500 0.3188
0.7500 0.7500 0.6812
0.2500 0.2500 0.7632
0.7500 0.7500 0.2368
0.2500 0.2500 0.5259
0.7500 0.7500 0.4741
```



## ii
Below is HgTePdO after structural relaxation, with properties calculated at the PBE level.

Output
crystal system: orthorhombic

POSCAR file:
```
HgTePdO
1.0
-2.0524 3.7544 -5.5249
1.8794 -6.2065 2.6037
-5.8045 -1.1933 1.3454
O Te Hg Pd
2 2 2 2
Direct
0.1033 0.8967 0.0379
0.8967 0.1033 0.5379
0.6095 0.3905 0.5427
0.3905 0.6095 0.0427
0.7144 0.2856 0.0236
0.2856 0.7144 0.5236
0.9998 0.0002 0.7884
0.0002 0.9998 0.2884
```



Which is most stable? The ranking, best first, is ii, i.



## i
Below is Cu2Ag3 after structural relaxation, with properties calculated at the PBE level.

Output
crystal system: tetragonal

POSCAR file:
```
Cu2Ag3
1.0
-1.0396 -2.6738 0.3652
2.1265 -0.5707 1.8750
-10.6251 6.0277 13.8854
Ag Cu
6 4
Direct
0.5000 0.0000 0.2851
0.0000 0.5000 0.7149
0.0000 0.5000 0.1707
0.5000 0.0000 0.8293
0.0000 0.5000 0.9432
0.5000 0.0000 0.0568
0.5000 0.0000 0.4610
0.0000 0.5000 0.3829
0.5000 0.0000 0.6171
0.0000 0.5000 0.5390
```



## ii
Below is Cu2Ag3 after structural relaxation, with properties calculated at the PBE level.

Output
crystal system: monoclinic

POSCAR file:
```
Cu2Ag3
1.0
-4.7519 1.4325 -5.5504
0.8777 -4.2669 6.0384
-0.7858 4.1235 2.4097
Cu Ag
4 6
Direct
0.9947 0.0053 0.0000
0.7037 0.2963 0.5000
0.8997 0.1003 0.5000
0.4033 0.5967 0.0000
0.0959 0.9041 0.5000
0.5977 0.4023 0.0000
0.3011 0.6989 0.5000
0.2001 0.7999 0.0000
0.4964 0.5036 0.5000
0.8074 0.1926 0.0000
```



## iii
Below is Cu2Ag3 after structural relaxation, with properties calculated at the PBE level.

Output
crystal system: monoclinic

POSCAR file:
```
Cu2Ag3
1.0
-6.5606 0.6824 2.1070
-0.5377 -2.6889 -0.8035
3.4146 -2.6872 6.7077
Ag Cu
6 4
Direct
0.4302 0.5000 0.2129
0.2804 0.0000 0.9105
0.0922 0.0000 0.2691
0.8012 0.5000 0.4176
0.6034 0.5000 0.7988
0.1999 0.5000 0.5922
0.9699 0.5000 0.9821
0.9058 0.0000 0.7124
0.7146 0.0000 0.0968
0.5024 0.0000 0.5076
```



Which is most stable? The ranking, best first, is i, iii, ii.



## i
Below is Cu2Ag3 after structural relaxation, with properties calculated at the PBE level.

Output
crystal system: monoclinic

POSCAR file:
```
Cu2Ag3
1.0
4.7787 0.0000 0.0000
0.0000 2.8534 0.0000
-0.8278 0.0000 11.4316
Cu Ag
4 6
Direct
0.0940 0.5000 0.7997
0.2089 0.0000 0.6144
0.9838 0.0000 0.9815
0.4132 0.0000 0.2069
0.9262 0.5000 0.1813
0.7191 0.5000 0.6025
0.5888 0.0000 0.8045
0.4662 0.5000 0.0098
0.8001 0.0000 0.3907
0.2997 0.5000 0.4087
```



## ii
Below is Cu2Ag3 after structural relaxation, with properties calculated at the PBE level.

Output
crystal system: monoclinic

POSCAR file:
```
Cu2Ag3
1.0
-3.3418 1.2183 -6.7606
-5.5880 1.3743 -5.0243
2.2098 6.8412 2.2441
Cu Ag
4 6
Direct
0.2074 0.2074 0.1047
0.9854 0.9854 0.9908
0.4067 0.4067 0.1949
0.4009 0.4009 0.7095
0.9984 0.9984 0.5021
0.8028 0.8028 0.9116
0.8060 0.8060 0.3919
0.5968 0.5968 0.8297
0.1983 0.1983 0.5973
0.5973 0.5973 0.2675
```



## iii
Below is Cu2Ag3 after structural relaxation, with properties calculated at the PBE level.

Output
crystal system: monoclinic

POSCAR file:
```
Cu2Ag3
1.0
2.4477 -6.9833 0.0000
2.4477 6.9833 0.0000
-1.6613 0.0000 4.5690
Cu Ag
4 6
Direct
0.9938 0.0062 0.0000
0.6015 0.3985 0.0000
0.8056 0.1944 0.0000
0.8989 0.1011 0.5000
0.5025 0.4975 0.5000
0.7051 0.2949 0.5000
0.3022 0.6978 0.5000
0.1945 0.8055 0.0000
0.4039 0.5961 0.0000
0.0920 0.9080 0.5000
```



Which is most stable? The ranking, best first, is ii, i, iii.



## i
Below is Cu2Ag3 after structural relaxation, with properties calculated at the PBE level.

Output
crystal system: monoclinic

POSCAR file:
```
Cu2Ag3
1.0
-4.7809 -0.4275 -0.2653
0.2982 -2.4117 -1.4885
1.0376 -5.8829 9.7397
Ag Cu
6 4
Direct
0.0664 0.7500 0.8977
0.2483 0.7500 0.5038
0.7517 0.2500 0.4962
0.9336 0.2500 0.1023
0.3569 0.2500 0.2889
0.6431 0.7500 0.7111
0.8496 0.7500 0.2976
0.4479 0.7500 0.0907
0.1504 0.2500 0.7024
0.5521 0.2500 0.9093
```



## ii
Below is Cu2Ag3 after structural relaxation, with properties calculated at the PBE level.

Output
crystal system: monoclinic

POSCAR file:
```
Cu2Ag3
1.0
-6.8255 6.4535 -2.7748
-8.4536 4.1458 -2.6991
-0.5304 0.5609 5.6850
Ag Cu
6 4
Direct
0.1982 0.1982 0.0945
0.9938 0.9938 0.5099
0.5907 0.5907 0.2824
0.8081 0.8081 0.9047
0.8124 0.8124 0.4060
0.1955 0.1955 0.6003
0.9949 0.9949 0.9880
0.4086 0.4086 0.1859
0.4055 0.4055 0.7238
0.5922 0.5922 0.8045
```



Which is most stable? The ranking, best first, is ii, i.



## i
Below is GaHgSeO after structural relaxation, with properties calculated at the PBE level.

Output
crystal system: tetragonal

POSCAR file:
```
GaHgSeO
1.0
-1.0522 3.6267 1.3714
-2.3938 -1.7254 2.7264
7.0705 -0.2390 6.0567
Hg O Se Ga
2 2 2 2
Direct
0.2500 0.7500 0.5000
0.7500 0.2500 0.5000
0.2500 0.7500 0.0000
0.7500 0.2500 0.0000
0.2500 0.2500 0.7110
0.7500 0.7500 0.2890
0.2500 0.2500 0.0800
0.7500 0.7500 0.9200
```



## ii
Below is GaHgSeO after structural relaxation, with properties calculated at the PBE level.

Output
crystal system: monoclinic

POSCAR file:
```
GaHgSeO
1.0
5.7707 0.0000 -0.5705
0.0000 5.5440 0.0000
-1.6894 0.0000 11.6055
Hg Se O Ga
4 4 4 4
Direct
0.6730 0.0004 0.4935
0.9442 0.2615 0.3219
0.3270 0.5004 0.5065
0.0558 0.7615 0.6781
0.6024 0.5495 0.2584
0.1923 0.9141 0.2767
0.8077 0.4141 0.7233
0.3976 0.0495 0.7416
0.6338 0.0858 0.0413
0.1270 0.2484 0.0266
0.3662 0.5858 0.9587
0.8730 0.7484 0.9734
0.0348 0.5003 0.9143
0.5448 0.8402 0.9189
0.4552 0.3402 0.0811
0.9652 0.0003 0.0857
```



Which is most stable? The ranking, best first, is ii, i.



## i
Below is HfPaNO after structural relaxation, with properties calculated at the PBE level.

Output
crystal system: tetragonal

POSCAR file:
```
HfPaNO
1.0
1.9351 0.4882 -3.2151
-3.2413 0.5923 -1.8610
0.5869 8.2659 1.6084
Hf N Pa O
2 2 2 2
Direct
0.7500 0.2500 0.5000
0.2500 0.7500 0.5000
0.7500 0.7500 0.3152
0.2500 0.2500 0.6848
0.2500 0.2500 0.1646
0.7500 0.7500 0.8354
0.2500 0.7500 0.0000
0.7500 0.2500 0.0000
```



## ii
Below is HfPaNO after structural relaxation, with properties calculated at the PBE level.

Output
crystal system: orthorhombic

POSCAR file:
```
HfPaNO
1.0
6.5650 0.0000 0.0000
0.0000 7.6933 0.0000
0.0000 0.0000 5.2695
Hf O Pa N
4 4 4 4
Direct
0.3909 0.6474 0.5268
0.6091 0.3526 0.0268
0.1091 0.6474 0.0268
0.8909 0.3526 0.5268
0.0863 0.5596 0.6399
0.9137 0.4404 0.1399
0.4137 0.5596 0.1399
0.5863 0.4404 0.6399
0.5579 0.8685 0.0208
0.9421 0.8685 0.5208
0.4421 0.1315 0.5208
0.0579 0.1315 0.0208
0.9131 0.8508 0.0149
0.0869 0.1492 0.5149
0.5869 0.8508 0.5149
0.4131 0.1492 0.0149
```



Which is most stable? The ranking, best first, is ii, i.



## i
Below is TmAuSeO after structural relaxation, with properties calculated at the PBE level.

Output
crystal system: orthorhombic

POSCAR file:
```
TmAuSeO
1.0
6.3903 0.0000 0.0000
0.0000 4.1925 0.0000
0.0000 0.0000 6.4516
Se Tm Au O
2 2 2 2
Direct
0.6548 0.0000 0.7823
0.3452 0.0000 0.2823
0.1829 0.5000 0.5209
0.8171 0.5000 0.0209
0.2745 0.0000 0.8778
0.7255 0.0000 0.3778
0.0741 0.5000 0.8280
0.9259 0.5000 0.3280
```



## ii
Below is TmAuSeO after structural relaxation, with properties calculated at the PBE level.

Output
crystal system: monoclinic

POSCAR file:
```
TmAuSeO
1.0
-1.2013 2.7001 4.8274
-1.4264 -4.9175 2.3956
10.4581 -1.5703 3.0035
Se Au O Tm
4 4 4 4
Direct
0.6964 0.5398 0.7164
0.3036 0.0398 0.2836
0.3105 0.1458 0.7235
0.6895 0.6458 0.2765
0.6836 0.5955 0.4966
0.9969 0.3422 0.2701
0.0031 0.8422 0.7299
0.3164 0.0955 0.5034
0.7506 0.5685 0.9981
0.2494 0.0685 0.0019
0.2515 0.5688 0.9997
0.7485 0.0688 0.0003
0.4934 0.8206 0.9083
0.9946 0.3187 0.9092
0.0054 0.8187 0.0908
0.5066 0.3206 0.0917
```



Which is most stable? The ranking, best first, is ii, i.



## i
Below is BeCdNO after structural relaxation, with properties calculated at the PBE level.

Output
crystal system: tetragonal

POSCAR file:
```
BeCdNO
1.0
3.7915 0.0000 0.0000
0.0000 3.7915 0.0000
0.0000 0.0000 6.3358
Cd O N Be
2 2 2 2
Direct
0.7500 0.2500 0.5000
0.2500 0.7500 0.5000
0.7500 0.2500 0.0000
0.2500 0.7500 0.0000
0.2500 0.2500 0.6857
0.7500 0.7500 0.3143
0.2500 0.2500 0.9492
0.7500 0.7500 0.0508
```



## ii
Below is BeCdNO after structural relaxation, with properties calculated at the PBE level.

Output
crystal system: orthorhombic

POSCAR file:
```
BeCdNO
1.0
-1.0476 -3.2596 3.0909
4.4416 -2.2243 -0.8403
2.9386 3.9271 5.1374
N Be O Cd
4 4 4 4
Direct
0.0363 0.4924 0.1747
0.0363 0.9924 0.8253
0.5363 0.0076 0.1747
0.5363 0.5076 0.8253
0.9924 0.0941 0.5839
0.4924 0.9059 0.4161
0.9924 0.5941 0.4161
0.4924 0.4059 0.5839
0.1439 0.8806 0.4489
0.1439 0.3806 0.5511
0.6439 0.1194 0.5511
0.6439 0.6194 0.4489
0.5298 0.9750 0.8456
0.0298 0.5250 0.8456
0.5298 0.4750 0.1544
0.0298 0.0250 0.1544
```



Which is most stable? The ranking, best first, is ii, i.